The following is a PBE calculation of an optimized crystal structure of HfMg6Zr, from Alexandria via LeMat-Bulk.

```
data_HfMg6Zr
_chemical_formula_sum 'Hf2 Mg12 Zr2'
_symmetry_space_group_name_H-M 'A m m 2'
_symmetry_Int_Tables_number 38
_cell_length_a 5.097
_cell_length_b 6.044
_cell_length_c 11.656
_cell_angle_alpha 90.00
_cell_angle_beta 90.00
_cell_angle_gamma 90.00
loop_
_symmetry_equiv_pos_as_xyz
'x,y,z'
'-x,-y,z'
'-x,y,z'
'x,-y,z'
'x,y+1/2,z+1/2'
'-x,-y+1/2,z+1/2'
'-x,y+1/2,z+1/2'
'x,-y+1/2,z+1/2'
loop_
_atom_site_label
_atom_site_fract_x
_atom_site_fract_y
_atom_site_fract_z
_atom_site_occupancy
Hf1 0.000 0.000 0.000 1
Mg1 0.000 0.250 0.251 1
Mg2 0.500 0.000 0.151 1
Mg3 0.500 0.000 0.652 1
Mg4 0.500 0.250 0.407 1
Zr1 0.000 0.000 0.499 1
```

Fermi-level density of states	13.06	states/eV/cell
formation energy from the elements	0.131	eV/atom
energy above the most stable polymorph in this dataset	36	meV/atom
E	-3.377	eV/atom
magnetic moment	0.00	μB/cell